Record 1
This record from OQMD via LeMat-Bulk describes an optimized crystal structure of TbFe. The functional is PBE.

Cell: 4.156 4.156 4.156 Å, 60.00 60.00 60.00°
Positions (direct):
Tb: 0.000 0.000 0.000
Fe: 0.250 0.250 0.250

Computed properties:
Calculated total energy: -5.0062 eV/atom
Total magnetization: 1.1 μB/f.u.
Formation enthalpy at 0 K: 1.463 eV/atom
Crystal system: cubic


Record 2
This record from OQMD via LeMat-Bulk describes an optimized crystal structure of ZrTaFeSb. The functional is PBE.

Cell: 4.669 4.669 4.669 Å, 60.00 60.00 60.00°
Positions (direct):
Zr: 0.000 0.000 0.000
Ta: 0.250 0.250 0.250
Fe: 0.750 0.750 0.750
Sb: 0.500 0.500 0.500

Computed properties:
Calculated total energy: -7.9795 eV/atom
Total magnetization: 2.5 μB/f.u.
Crystal system: cubic
ΔE to the lowest computed polymorph: 0 meV/atom


calculated total energy of number 2 (ZrTaFeSb)?
-7.9795 eV/atom


The highest calculated total energy belongs to which entry?
TbFe